Record 1
Material: RbLaCu
Method: DFT, PBE-GGA
State: relaxed

As for the space group: F-43m, No. 216. The total moment comes out at 0.1 μB per cell. As for the polymorph energy (0 for the lowest one): 0 meV per atom.

a b c (Å): 5.2784 5.2784 5.2784
angles (deg): 60.00 60.00 60.00
Atoms (fractional coordinates):
1 Cu 0.0000 0.0000 0.0000
2 La 0.2500 0.2500 0.2500
3 Rb 0.7500 0.7500 0.7500


Record 2
Material: Rb2La4Cu4S9
Method: DFT, PBE-GGA
State: relaxed

As for the space group: C2/m, No. 12. The value obtained for the total energy is -5.318 eV per atom. The total moment comes out at 0.0 μB per cell.

a b c (Å): 7.4043 7.4043 16.6403
angles (deg): 108.47 108.47 32.20
Atoms (fractional coordinates):
1 Cu 0.7447 0.7447 0.2242
2 Cu 0.0669 0.0669 0.4589
3 Cu 0.9331 0.9331 0.5411
4 Cu 0.2553 0.2553 0.7758
5 La 0.1547 0.1547 0.0532
6 La 0.2685 0.2685 0.3962
7 La 0.7315 0.7315 0.6038
8 La 0.8453 0.8453 0.9468
9 Rb 0.4742 0.4742 0.2320
10 Rb 0.5258 0.5258 0.7680
11 S 0.5000 0.5000 0.0000
12 S 0.8010 0.8010 0.1055
13 S 0.1602 0.1602 0.2221
14 S 0.8950 0.8950 0.3760
15 S 0.6328 0.6328 0.4260
16 S 0.3672 0.3672 0.5740
17 S 0.1050 0.1050 0.6240
18 S 0.8398 0.8398 0.7779
19 S 0.1990 0.1990 0.8945


Record 3
Material: RbLa2CuS4
Method: DFT, PBE-GGA
State: relaxed

As for the space group: Cmcm, No. 63. The value obtained for the total energy is -5.589 eV per atom. The total moment comes out at 0.0 μB per cell.

a b c (Å): 7.4726 7.4726 14.1727
angles (deg): 90.00 90.00 147.59
Atoms (fractional coordinates):
1 Cu 0.1643 0.8357 0.2500
2 Cu 0.8357 0.1643 0.7500
3 La 0.6341 0.3659 0.0607
4 La 0.6341 0.3659 0.4393
5 La 0.3659 0.6341 0.5607
6 La 0.3659 0.6341 0.9393
7 Rb 0.8937 0.1063 0.2500
8 Rb 0.1063 0.8937 0.7500
9 S 0.0000 0.0000 0.0000
10 S 0.2590 0.7410 0.1137
11 S 0.5768 0.4232 0.2500
12 S 0.2590 0.7410 0.3863
13 S 0.0000 0.0000 0.5000
14 S 0.7410 0.2590 0.6137
15 S 0.4232 0.5768 0.7500
16 S 0.7410 0.2590 0.8863


Record 4
Material: RbLa2Cu3SeS4
Method: DFT, PBE-GGA
State: relaxed

As for the space group: Cmcm, No. 63. The value obtained for the total energy is -5.032 eV per atom. The total moment comes out at 0.0 μB per cell.

a b c (Å): 7.3163 7.3163 17.6458
angles (deg): 90.00 90.00 147.36
Atoms (fractional coordinates):
1 Cu 0.4186 0.5814 0.0420
2 Cu 0.6527 0.3473 0.2500
3 Cu 0.4186 0.5814 0.4580
4 Cu 0.5814 0.4186 0.5420
5 Cu 0.3473 0.6527 0.7500
6 Cu 0.5814 0.4186 0.9580
7 La 0.1892 0.8108 0.0906
8 La 0.1892 0.8108 0.4094
9 La 0.8108 0.1892 0.5906
10 La 0.8108 0.1892 0.9094
11 Rb 0.9384 0.0616 0.2500
12 Rb 0.0616 0.9384 0.7500
13 S 0.8398 0.1602 0.0675
14 S 0.5567 0.4433 0.1158
15 S 0.5567 0.4433 0.3842
16 S 0.8398 0.1602 0.4325
17 S 0.1602 0.8398 0.5675
18 S 0.4433 0.5567 0.6158
19 S 0.4433 0.5567 0.8842
20 S 0.1602 0.8398 0.9325
21 Se 0.2415 0.7585 0.2500
22 Se 0.7585 0.2415 0.7500


Record 5
Material: RbLa2Cu3Se4S
Method: DFT, PBE-GGA
State: relaxed

As for the space group: Cmcm, No. 63. The value obtained for the total energy is -4.826 eV per atom. The total moment comes out at 0.0 μB per cell.

a b c (Å): 7.6623 7.6623 17.8034
angles (deg): 90.00 90.00 148.04
Atoms (fractional coordinates):
1 Cu 0.9167 0.0833 0.0280
2 Cu 0.1647 0.8353 0.2500
3 Cu 0.9167 0.0833 0.4720
4 Cu 0.0833 0.9167 0.5280
5 Cu 0.8353 0.1647 0.7500
6 Cu 0.0833 0.9167 0.9720
7 La 0.6932 0.3068 0.0943
8 La 0.6932 0.3068 0.4057
9 La 0.3068 0.6932 0.5943
10 La 0.3068 0.6932 0.9057
11 Rb 0.4332 0.5668 0.2500
12 Rb 0.5668 0.4332 0.7500
13 S 0.7291 0.2709 0.2500
14 S 0.2709 0.7291 0.7500
15 Se 0.3401 0.6599 0.0704
16 Se 0.0545 0.9455 0.1148
17 Se 0.0545 0.9455 0.3852
18 Se 0.3401 0.6599 0.4296
19 Se 0.6599 0.3401 0.5704
20 Se 0.9455 0.0545 0.6148
21 Se 0.9455 0.0545 0.8852
22 Se 0.6599 0.3401 0.9296


Record 6
Material: RbLa2Cu3TeS4
Method: DFT, PBE-GGA
State: relaxed

As for the space group: Cmcm, No. 63. The value obtained for the total energy is -4.947 eV per atom. The total moment comes out at 0.0 μB per cell.

a b c (Å): 7.3321 7.3321 18.3791
angles (deg): 90.00 90.00 147.15
Atoms (fractional coordinates):
1 Cu 0.4048 0.5952 0.0852
2 Cu 0.6416 0.3584 0.2500
3 Cu 0.4048 0.5952 0.4148
4 Cu 0.5952 0.4048 0.5852
5 Cu 0.3584 0.6416 0.7500
6 Cu 0.5952 0.4048 0.9148
7 La 0.1776 0.8224 0.0902
8 La 0.1776 0.8224 0.4098
9 La 0.8224 0.1776 0.5902
10 La 0.8224 0.1776 0.9098
11 Rb 0.9464 0.0536 0.2500
12 Rb 0.0536 0.9464 0.7500
13 S 0.8328 0.1672 0.0671
14 S 0.5544 0.4456 0.1346
15 S 0.5544 0.4456 0.3654
16 S 0.8328 0.1672 0.4329
17 S 0.1672 0.8328 0.5671
18 S 0.4456 0.5544 0.6346
19 S 0.4456 0.5544 0.8654
20 S 0.1672 0.8328 0.9329
21 Te 0.2525 0.7475 0.2500
22 Te 0.7475 0.2525 0.7500


Record 7
Material: RbLa2CuTe3S
Method: DFT, PBE-GGA
State: relaxed

As for the space group: Cmcm, No. 63. The value obtained for the total energy is -4.843 eV per atom. The total moment comes out at 0.0 μB per cell.

a b c (Å): 7.9426 7.9426 15.8148
angles (deg): 90.00 90.00 148.02
Atoms (fractional coordinates):
1 Cu 0.1616 0.8384 0.2500
2 Cu 0.8384 0.1616 0.7500
3 La 0.6225 0.3775 0.0576
4 La 0.6225 0.3775 0.4424
5 La 0.3775 0.6225 0.5576
6 La 0.3775 0.6225 0.9424
7 Rb 0.8854 0.1146 0.2500
8 Rb 0.1146 0.8854 0.7500
9 S 0.0000 0.0000 0.0000
10 S 0.0000 0.0000 0.5000
11 Te 0.2628 0.7372 0.1137
12 Te 0.5653 0.4347 0.2500
13 Te 0.2628 0.7372 0.3863
14 Te 0.7372 0.2628 0.6137
15 Te 0.4347 0.5653 0.7500
16 Te 0.7372 0.2628 0.8863


Record 8
Material: RbLa2Cu3Se5
Method: DFT, PBE-GGA
State: relaxed

As for the space group: Cmcm, No. 63. The value obtained for the total energy is -4.742 eV per atom. The total moment comes out at 0.0 μB per cell.

a b c (Å): 7.6454 7.6454 17.9254
angles (deg): 90.00 90.00 147.71
Atoms (fractional coordinates):
1 Cu 0.0832 0.9168 0.0282
2 Cu 0.8379 0.1621 0.2500
3 Cu 0.0832 0.9168 0.4718
4 Cu 0.9168 0.0832 0.5282
5 Cu 0.1621 0.8379 0.7500
6 Cu 0.9168 0.0832 0.9718
7 La 0.3076 0.6924 0.0919
8 La 0.3076 0.6924 0.4081
9 La 0.6924 0.3076 0.5919
10 La 0.6924 0.3076 0.9081
11 Rb 0.5623 0.4377 0.2500
12 Rb 0.4377 0.5623 0.7500
13 Se 0.6587 0.3413 0.0706
14 Se 0.9448 0.0552 0.1150
15 Se 0.2591 0.7409 0.2500
16 Se 0.9448 0.0552 0.3850
17 Se 0.6587 0.3413 0.4294
18 Se 0.3413 0.6587 0.5706
19 Se 0.0552 0.9448 0.6150
20 Se 0.7409 0.2591 0.7500
21 Se 0.0552 0.9448 0.8850
22 Se 0.3413 0.6587 0.9294


Record 9
Material: Rb2La4Cu4Se9
Method: DFT, PBE-GGA
State: relaxed

As for the space group: C2/m, No. 12. The value obtained for the total energy is -4.918 eV per atom. The total moment comes out at 0.0 μB per cell.

a b c (Å): 7.7043 7.7043 17.2152
angles (deg): 108.23 108.23 32.19
Atoms (fractional coordinates):
1 Cu 0.9276 0.9276 0.0305
2 Cu 0.2574 0.2574 0.2739
3 Cu 0.7426 0.7426 0.7261
4 Cu 0.0724 0.0724 0.9695
5 La 0.7318 0.7318 0.1031
6 La 0.8445 0.8445 0.4457
7 La 0.1555 0.1555 0.5543
8 La 0.2682 0.2682 0.8969
9 Rb 0.5279 0.5279 0.2684
10 Rb 0.4721 0.4721 0.7316
11 Se 0.3686 0.3686 0.0757
12 Se 0.1035 0.1035 0.1255
13 Se 0.8458 0.8458 0.2774
14 Se 0.1971 0.1971 0.3933
15 Se 0.5000 0.5000 0.5000
16 Se 0.8029 0.8029 0.6067
17 Se 0.1542 0.1542 0.7226
18 Se 0.8965 0.8965 0.8745
19 Se 0.6314 0.6314 0.9243


Record 10
Material: RbLa2CuTe3Se
Method: DFT, PBE-GGA
State: relaxed

As for the space group: Cmcm, No. 63. The value obtained for the total energy is -4.764 eV per atom. The total moment comes out at 0.0 μB per cell.

a b c (Å): 8.1293 8.1293 15.4631
angles (deg): 90.00 90.00 147.83
Atoms (fractional coordinates):
1 Cu 0.1594 0.8406 0.2500
2 Cu 0.8406 0.1594 0.7500
3 La 0.6358 0.3642 0.0697
4 La 0.6358 0.3642 0.4303
5 La 0.3642 0.6358 0.5697
6 La 0.3642 0.6358 0.9303
7 Rb 0.9063 0.0937 0.2500
8 Rb 0.0937 0.9063 0.7500
9 Se 0.5769 0.4231 0.2500
10 Se 0.4231 0.5769 0.7500
11 Te 0.0000 0.0000 0.0000
12 Te 0.2697 0.7303 0.1190
13 Te 0.2697 0.7303 0.3810
14 Te 0.0000 0.0000 0.5000
15 Te 0.7303 0.2697 0.6190
16 Te 0.7303 0.2697 0.8810


Record 11
Material: RbLa2Cu3TeSe4
Method: DFT, PBE-GGA
State: relaxed

As for the space group: Cmcm, No. 63. The value obtained for the total energy is -4.639 eV per atom. The total moment comes out at 0.0 μB per cell.

a b c (Å): 7.6666 7.6666 18.4322
angles (deg): 90.00 90.00 147.32
Atoms (fractional coordinates):
1 Cu 0.9170 0.0830 0.0304
2 Cu 0.1573 0.8427 0.2500
3 Cu 0.9170 0.0830 0.4696
4 Cu 0.0830 0.9170 0.5304
5 Cu 0.8427 0.1573 0.7500
6 Cu 0.0830 0.9170 0.9696
7 La 0.6894 0.3106 0.0870
8 La 0.6894 0.3106 0.4130
9 La 0.3106 0.6894 0.5870
10 La 0.3106 0.6894 0.9130
11 Rb 0.4482 0.5518 0.2500
12 Rb 0.5518 0.4482 0.7500
13 Se 0.3401 0.6599 0.0703
14 Se 0.0552 0.9448 0.1120
15 Se 0.0552 0.9448 0.3880
16 Se 0.3401 0.6599 0.4297
17 Se 0.6599 0.3401 0.5703
18 Se 0.9448 0.0552 0.6120
19 Se 0.9448 0.0552 0.8880
20 Se 0.6599 0.3401 0.9297
21 Te 0.7485 0.2515 0.2500
22 Te 0.2515 0.7485 0.7500


Record 12
Material: RbLa2CuTeSe3
Method: DFT, PBE-GGA
State: relaxed

As for the space group: Cmcm, No. 63. The value obtained for the total energy is -5.030 eV per atom. The total moment comes out at 0.0 μB per cell.

a b c (Å): 7.8563 7.8563 15.0786
angles (deg): 90.00 90.00 147.75
Atoms (fractional coordinates):
1 Cu 0.3370 0.6630 0.2500
2 Cu 0.6630 0.3370 0.7500
3 La 0.8658 0.1342 0.0551
4 La 0.8658 0.1342 0.4449
5 La 0.1342 0.8658 0.5551
6 La 0.1342 0.8658 0.9449
7 Rb 0.6231 0.3769 0.2500
8 Rb 0.3769 0.6231 0.7500
9 Se 0.5000 0.5000 0.0000
10 Se 0.2419 0.7581 0.1133
11 Se 0.2419 0.7581 0.3867
12 Se 0.5000 0.5000 0.5000
13 Se 0.7581 0.2419 0.6133
14 Se 0.7581 0.2419 0.8867
15 Te 0.9375 0.0625 0.2500
16 Te 0.0625 0.9375 0.7500


What is the formula in the eighth record? RbLa2Cu3Se5


total moment of number 2 (Rb2La4Cu4S9)? 0.0 μB per cell


What is the total moment in the tenth record? 0.0 μB per cell


What is the formula in the eleventh record? RbLa2Cu3TeSe4